(1)
Material: Na2Cd2Ir
Method: DFT, PBE
State: relaxed

## Properties
The value obtained for the formation energy is 0.209 eV/atom. The total energy comes out at -2.457 eV per atom. The density of states at the Fermi level is 0.39 states/eV/atom. Its total magnetic moment is 0.00 μB/f.u.

```
data_Na2Cd2Ir
_cell_length_a 6.983
_cell_length_b 6.983
_cell_length_c 4.982
_cell_angle_alpha 90.00
_cell_angle_beta 90.00
_cell_angle_gamma 90.00
_symmetry_space_group_name_H-M 'P 4/m b m'
_symmetry_Int_Tables_number 127
_symmetry_space_group_name_Hall '-P 4 2ab'
loop_
_atom_site_label
_atom_site_type_symbol
_atom_site_fract_x
_atom_site_fract_y
_atom_site_fract_z
Na1 Na 0.182 0.318 0.000
Cd1 Cd 0.147 0.647 0.500
Ir1 Ir 0.000 0.000 0.500
```

=====

(2)
Material: SrTl2CdBr6
Method: DFT, PBE
State: relaxed

## Properties
For the formation energy from raw total energies, the calculation gives -1.21 eV per atom. The total energy comes out at -2.948 eV per atom. The density of states at the Fermi level is 0.00 states/eV/atom. Its total magnetic moment is 0.00 μB/f.u.

```
data_SrTl2CdBr6
_cell_length_a 7.987
_cell_length_b 7.994
_cell_length_c 8.089
_cell_angle_alpha 90.03
_cell_angle_beta 119.58
_cell_angle_gamma 119.97
_symmetry_space_group_name_H-M 'P 1'
_symmetry_Int_Tables_number 1
_symmetry_space_group_name_Hall 'P 1'
loop_
_atom_site_label
_atom_site_type_symbol
_atom_site_fract_x
_atom_site_fract_y
_atom_site_fract_z
Sr1 Sr 0.000 0.000 0.000
Tl1 Tl 0.433 0.216 0.650
Tl2 Tl 0.433 0.716 0.150
Cd1 Cd 0.001 0.501 0.502
Br1 Br 0.111 0.758 0.284
Br2 Br 0.120 0.836 0.768
Br3 Br 0.485 0.648 0.768
Br4 Br 0.527 0.354 0.285
Br5 Br 0.931 0.173 0.284
Br6 Br 0.932 0.284 0.769
```

=====

(3)
Material: LiY2H
Method: DFT, PBE
State: relaxed

## Properties
The total energy comes out at -4.571 eV per atom. The density of states at the Fermi level is 0.76 states/eV/atom. Its total magnetic moment is 0.00 μB/f.u.

```
data_LiY2H
_cell_length_a 3.4959
_cell_length_b 3.4959
_cell_length_c 26.9801
_cell_angle_alpha 90.00
_cell_angle_beta 90.00
_cell_angle_gamma 120.00
_symmetry_space_group_name_H-M 'R -3 m'
_symmetry_Int_Tables_number 166
_symmetry_space_group_name_Hall '-R 3 2"'
loop_
_atom_site_label
_atom_site_type_symbol
_atom_site_fract_x
_atom_site_fract_y
_atom_site_fract_z
Li1 Li 0.0000 0.0000 0.0000
Y1 Y 0.0000 0.0000 0.1170
H1 H 0.0000 0.0000 0.5000
```

=====

(4)
Material: Tl3HgSb
Method: DFT, PBE
State: relaxed

## Properties
For the formation energy from raw total energies, the calculation gives 0.32 eV per atom. The total energy comes out at -1.985 eV per atom. The density of states at the Fermi level is 0.90 states/eV/atom. Its total magnetic moment is 0.00 μB/f.u.

```
data_Tl3HgSb
_cell_length_a 6.092
_cell_length_b 6.092
_cell_length_c 6.092
_cell_angle_alpha 90.00
_cell_angle_beta 90.00
_cell_angle_gamma 90.00
_symmetry_space_group_name_H-M 'P m -3 m'
_symmetry_Int_Tables_number 221
_symmetry_space_group_name_Hall '-P 4 2 3'
loop_
_atom_site_label
_atom_site_type_symbol
_atom_site_fract_x
_atom_site_fract_y
_atom_site_fract_z
Tl1 Tl 0.000 0.000 0.500
Hg1 Hg 0.500 0.500 0.500
Sb1 Sb 0.000 0.000 0.000
```

=====

(5)
Material: KLi3Ir
Method: DFT, PBE
State: relaxed

## Properties
The value obtained for the formation energy is 1.104 eV/atom. The total energy comes out at -2.036 eV per atom. The density of states at the Fermi level is 0.46 states/eV/atom. Its total magnetic moment is 0.00 μB/f.u.

```
data_KLi3Ir
_cell_length_a 4.383
_cell_length_b 4.383
_cell_length_c 4.383
_cell_angle_alpha 90.00
_cell_angle_beta 90.00
_cell_angle_gamma 90.00
_symmetry_space_group_name_H-M 'P m -3 m'
_symmetry_Int_Tables_number 221
_symmetry_space_group_name_Hall '-P 4 2 3'
loop_
_atom_site_label
_atom_site_type_symbol
_atom_site_fract_x
_atom_site_fract_y
_atom_site_fract_z
K1 K 0.000 0.000 0.000
Li1 Li 0.000 0.000 0.500
Ir1 Ir 0.500 0.500 0.500
```

=====

(6)
Material: K2PuTeS4
Method: DFT, PBE
State: relaxed

## Properties
For the formation energy from raw total energies, the calculation gives -0.98 eV per atom. The total energy comes out at -5.500 eV per atom. The density of states at the Fermi level is 1.25 states/eV/atom. Its total magnetic moment is 4.63 μB/f.u.

```
data_K2PuTeS4
_cell_length_a 11.707
_cell_length_b 11.612
_cell_length_c 8.333
_cell_angle_alpha 90.00
_cell_angle_beta 127.12
_cell_angle_gamma 90.00
_symmetry_space_group_name_H-M 'C 1 2/c 1'
_symmetry_Int_Tables_number 15
_symmetry_space_group_name_Hall '-C 2yc'
loop_
_atom_site_label
_atom_site_type_symbol
_atom_site_fract_x
_atom_site_fract_y
_atom_site_fract_z
K1 K 0.000 0.000 0.000
K2 K 0.250 0.250 0.000
Pu1 Pu 0.000 0.500 0.000
Te1 Te 0.250 0.250 0.500
S1 S 0.039 0.268 0.531
S2 S 0.200 0.481 0.422
```

=====

(7)
Material: Er2Sc3S4
Method: DFT, PBE
State: relaxed

## Properties
For the formation energy from raw total energies, the calculation gives -1.69 eV per atom. The total energy comes out at -6.645 eV per atom. The density of states at the Fermi level is 0.67 states/eV/atom. Its total magnetic moment is 0.00 μB/f.u.

```
data_Er2Sc3S4
_cell_length_a 3.7166
_cell_length_b 3.7166
_cell_length_c 15.1235
_cell_angle_alpha 90.00
_cell_angle_beta 90.00
_cell_angle_gamma 120.00
_symmetry_space_group_name_H-M 'P -3 m 1'
_symmetry_Int_Tables_number 164
_symmetry_space_group_name_Hall '-P 3 2"'
loop_
_atom_site_label
_atom_site_type_symbol
_atom_site_fract_x
_atom_site_fract_y
_atom_site_fract_z
Er1 Er 0.3333 0.6667 0.2100
Sc1 Sc 0.0000 0.0000 0.0000
Sc2 Sc 0.3333 0.6667 0.5849
S1 S 0.0000 0.0000 0.3180
S2 S 0.3333 0.6667 0.9008
```

=====

(8)
Material: LaSbRu
Method: DFT, PBE
State: relaxed

## Properties
For the formation energy from raw total energies, the calculation gives -0.40 eV per atom. The total energy comes out at -6.512 eV per atom. The density of states at the Fermi level is 0.99 states/eV/atom. Its total magnetic moment is 0.00 μB/f.u.

```
data_LaSbRu
_cell_length_a 11.660
_cell_length_b 4.344
_cell_length_c 6.709
_cell_angle_alpha 90.00
_cell_angle_beta 92.43
_cell_angle_gamma 90.00
_symmetry_space_group_name_H-M 'C 1 2/m 1'
_symmetry_Int_Tables_number 12
_symmetry_space_group_name_Hall '-C 2y'
loop_
_atom_site_label
_atom_site_type_symbol
_atom_site_fract_x
_atom_site_fract_y
_atom_site_fract_z
La1 La 0.128 0.000 0.289
Sb1 Sb 0.157 0.000 0.794
Ru1 Ru 0.063 0.500 0.637
```

=====

Calculated density, record by record: 6329; 4916; 3241; 6870; 4972; 4251; 5486; 7077 kg/m³